[1]
# AcTmReO6

A relaxed structure of AcTmReO6 (PBE, Alexandria via LeMat-Bulk).

a = 5.5215 Å, b = 5.5215 Å, c = 5.2888 Å
α = 90.00°, β = 90.00°, γ = 120.00°
Positions (direct):
Ac (0.0000, 0.0000, 0.0000)
Tm (0.3333, 0.6667, 0.5000)
Re (0.6667, 0.3333, 0.5000)
O (0.3831, 0.0365, 0.7092)
O (0.3831, 0.3466, 0.2908)
O (0.6534, 0.0365, 0.2908)
O (0.6534, 0.6169, 0.7092)
O (0.9635, 0.3466, 0.7092)
O (0.9635, 0.6169, 0.2908)

Computed properties:
- uncorrected formation energy (eV per formula unit) = -24.01
- crystal system = trigonal
- calculated density (kg/m3) = 8064

[2]
# IrW2Au

A relaxed structure of IrW2Au (PBE, Alexandria via LeMat-Bulk).

a = 3.3454 Å, b = 3.3454 Å, c = 5.8343 Å
α = 90.00°, β = 90.00°, γ = 90.00°
Positions (direct):
Ir (0.0000, 0.0000, 0.0000)
W (0.0000, 0.0000, 0.4644)
W (0.5000, 0.5000, 0.2099)
Au (0.5000, 0.5000, 0.7291)

Computed properties:
- E_form (kJ per mole of atoms) = 25
- crystal system = tetragonal
- calculated density (kg/m3) = 19248
- energy above the most stable polymorph in this dataset (meV per atom) = 152.8

[3]
# TaTc2Ru

A relaxed structure of TaTc2Ru (PBE, Alexandria via LeMat-Bulk).

a = 2.7537 Å, b = 2.7537 Å, c = 8.1318 Å
α = 90.00°, β = 90.00°, γ = 90.00°
Positions (direct):
Ta (0.0000, 0.0000, 0.0000)
Tc (0.5000, 0.5000, 0.2712)
Tc (0.5000, 0.5000, 0.7288)
Ru (0.0000, 0.0000, 0.5000)

Computed properties:
- E_form (kJ per mole of atoms) = 4
- crystal system = tetragonal
- calculated density (kg/m3) = 12873
- energy above the most stable polymorph in this dataset (meV per atom) = 97.6